# 1
{"formula": "Tb7NdDy2", "functional": "PBE-GGA", "state": "relaxed", "relative_energy_ev_per_atom": 0.6722, "dft_energy_ev_per_atom": -3.950, "formation_enthalpy_0k_kj_per_mol_atoms": 66.4, "lattice": [[4.3787, -8.0470, 0.0000], [4.3787, 8.0470, 0.0000], [0.0000, 0.0000, 5.6342]], "species": ["Tb", "Tb", "Tb", "Tb", "Tb", "Tb", "Tb", "Nd", "Dy", "Dy"], "fractional_positions": [[0.0000, 0.0000, 0.0000], [0.2077, 0.4380, 0.0000], [0.2811, 0.7189, 0.5000], [0.4380, 0.2077, 0.0000], [0.5620, 0.7923, 0.0000], [0.7189, 0.2811, 0.5000], [0.7923, 0.5620, 0.0000], [0.5000, 0.5000, 0.5000], [0.2036, 0.7964, 0.0000], [0.7964, 0.2036, 0.0000]]}

---

# 2
{"formula": "Tb3Nd2Dy5", "functional": "PBE-GGA", "state": "relaxed", "dft_energy_ev_per_atom": -4.451, "formation_enthalpy_0k_kj_per_mol_atoms": 18.6, "lattice": [[5.3166, -8.0322, 0.0000], [5.3166, 8.0322, 0.0000], [-5.2973, 0.0000, 7.7553]], "species": ["Tb", "Tb", "Tb", "Tb", "Tb", "Tb", "Nd", "Nd", "Nd", "Nd", "Dy", "Dy", "Dy", "Dy", "Dy", "Dy", "Dy", "Dy", "Dy", "Dy"], "fractional_positions": [[0.0214, 0.9786, 0.7500], [0.2207, 0.4648, 0.4517], [0.4648, 0.2207, 0.9517], [0.5352, 0.7793, 0.0483], [0.7793, 0.5352, 0.5483], [0.9786, 0.0214, 0.2500], [0.0131, 0.2687, 0.0465], [0.2687, 0.0131, 0.5465], [0.7313, 0.9869, 0.4535], [0.9869, 0.7313, 0.9535], [0.1471, 0.3899, 0.7819], [0.2306, 0.7694, 0.7500], [0.2752, 0.7248, 0.2500], [0.3899, 0.1471, 0.2819], [0.4725, 0.5275, 0.2500], [0.5275, 0.4725, 0.7500], [0.6101, 0.8529, 0.7181], [0.7248, 0.2752, 0.7500], [0.7694, 0.2306, 0.2500], [0.8529, 0.6101, 0.2181]]}